No. 1
A relaxed structure of Ba3LaCl9, computed with PBE.

Values from the calculation:
* total moment: 0.006 μB per atom
* formation energy (no corrections): -2456 meV/atom

a = 11.9174 Å, b = 7.3272 Å, c = 18.9900 Å
α = 90.00°, β = 90.00°, γ = 90.00°
Space group Pnma (No. 62)
Asymmetric unit:
Ba1 0.0625 0.2500 0.0850 x4
Ba2 0.1489 0.2500 0.5203 x4
Ba3 0.2334 0.2500 0.8330 x4
La1 0.0592 0.7500 0.6921 x4
Cl1 0.0172 0.0125 0.7934 x8
Cl2 0.0594 0.5080 0.3970 x8
Cl3 0.1452 0.5091 0.9622 x8
Cl4 0.1761 0.7500 0.5662 x4
Cl5 0.2249 0.2500 0.2501 x4
Cl6 0.2279 0.2500 0.6700 x4

No. 2
A relaxed structure of BaLa2Cl, computed with PBE.

Values from the calculation:
* total moment: 0.000 μB per atom
* formation energy (no corrections): -705 meV/atom
* ΔE to the lowest computed polymorph: 0 meV/atom

a = 5.4525 Å, b = 3.7316 Å, c = 7.4468 Å
α = 90.00°, β = 111.38°, γ = 90.00°
Space group Pm (No. 6)
Asymmetric unit:
Ba1 0.0000 0.0000 0.0000 x1
La1 0.2800 0.0000 0.5631 x1
La2 0.6965 0.5000 0.3965 x1
Cl1 0.4809 0.5000 0.9615 x1

No. 3
A relaxed structure of BaLa2Cl, computed with PBE.

Values from the calculation:
* total moment: 0.000 μB per atom
* formation energy (no corrections): -523 meV/atom
* ΔE to the lowest computed polymorph: 181 meV/atom

a = 3.9117 Å, b = 6.5768 Å, c = 11.5814 Å
α = 90.00°, β = 90.00°, γ = 90.00°
Space group Cmmm (No. 65)
Asymmetric unit:
Ba1 0.0000 0.0000 0.0000 x2
La1 0.0000 0.5000 0.2957 x4
Cl1 0.0000 0.0000 0.5000 x2

No. 4
A relaxed structure of Ba2LaCl, computed with PBE.

Values from the calculation:
* total moment: 0.008 μB per atom
* formation energy (no corrections): -296 meV/atom
* ΔE to the lowest computed polymorph: 459 meV/atom

a = 4.0339 Å, b = 5.9307 Å, c = 7.1351 Å
α = 90.00°, β = 90.00°, γ = 90.00°
Space group Pmmm (No. 47)
Asymmetric unit:
Ba1 0.0000 0.0000 0.0000 x1
Ba2 0.5000 0.0000 0.5000 x1
La1 0.0000 0.5000 0.5000 x1
Cl1 0.5000 0.5000 0.0000 x1

No. 5
A relaxed structure of BaLa2Cl, computed with PBE.

Values from the calculation:
* total moment: 0.074 μB per atom
* formation energy (no corrections): -448 meV/atom
* ΔE to the lowest computed polymorph: 256 meV/atom

a = 3.8126 Å, b = 7.0790 Å, c = 11.8352 Å
α = 90.00°, β = 90.00°, γ = 90.00°
Space group Imm2 (No. 44)
Asymmetric unit:
Ba1 0.0000 0.0000 0.0000 x2
La1 0.0000 0.0000 0.4145 x2
La2 0.0000 0.5000 0.1729 x2
Cl1 0.0000 0.5000 0.7221 x2

No. 6
A relaxed structure of BaLa2Cl8, computed with PBE.

Values from the calculation:
* total moment: 0.000 μB per atom
* formation energy (no corrections): -2394 meV/atom
* ΔE to the lowest computed polymorph: 20 meV/atom

a = 18.0105 Å, b = 10.3154 Å, c = 10.5303 Å
α = 90.00°, β = 119.24°, γ = 90.00°
Space group C2/c (No. 15)
Asymmetric unit:
Ba1 0.0000 0.0231 0.2500 x4
La1 0.2389 0.2300 0.7682 x8
Cl1 0.0809 0.1233 0.5790 x8
Cl2 0.1448 0.2209 0.3187 x8
Cl3 0.1524 0.1844 0.9425 x8
Cl4 0.1834 0.4832 0.6747 x8

The highest total moment belongs to which entry?
number 5

Look up the total moment of the fourth one.
0.008 μB per atom

What did the third record say?
A relaxed structure of BaLa2Cl, computed with PBE.

Values from the calculation:
* total moment: 0.000 μB per atom
* formation energy (no corrections): -523 meV/atom
* ΔE to the lowest computed polymorph: 181 meV/atom

a = 3.9117 Å, b = 6.5768 Å, c = 11.5814 Å
α = 90.00°, β = 90.00°, γ = 90.00°
Space group Cmmm (No. 65)
Asymmetric unit:
Ba1 0.0000 0.0000 0.0000 x2
La1 0.0000 0.5000 0.2957 x4
Cl1 0.0000 0.0000 0.5000 x2